The following is a GGA-PBEsol calculation of crystalline KTcAs2 at its relaxed geometry, from the Alexandria database.

Properties
Symmetry: Immm, No. 71
Total moment in μB/cell: 0.00
ΔE_f in eV per atom: 0.17
Energy above the lowest structure with this stoichiometry in meV per atom: 0

a b c (Å): 2.9314 6.0653 6.0653
angles (deg): 63.16 76.02 76.02
With the nearest neighbours (Å) after each atom.
Element x y z (fractional)
As 0.1952 0.8048 0.8048  2 Tc 2.43
As 0.8048 0.1952 0.1952  2 Tc 2.43
K 0.0000 0.5000 0.5000  2 K 2.93
Tc 0.5000 0.0000 0.0000  4 As 2.43